Entry 1:
A geometry-optimized Dy6PC2Se3 structure. Source: Alexandria, functional PBE-GGA.

Cell lengths 17.250, 3.852, 7.994 Å; angles 90.00, 105.45, 90.00 degrees
Space group C2/m (No. 12)
Unique sites:
1 Dy 0.018 0.000 0.251 x4
2 Dy 0.168 0.500 0.120 x4
3 Dy 0.178 0.500 0.558 x4
4 P 0.000 0.500 0.000 x2
5 C 0.169 0.000 0.336 x4
6 Se 0.000 0.500 0.500 x2
7 Se 0.162 0.000 0.832 x4

Output
Fermi-level density of states, states/eV/atom: 0.20
ΔE_f (raw), meV/atom: -1369

Entry 2:
A geometry-optimized NaEr2GeO5 structure. Source: Alexandria, functional PBE-GGA.

Cell lengths 6.489, 6.489, 11.435 Å; angles 90.00, 90.00, 90.00 degrees
Space group I4/mcm (No. 140)
Unique sites:
1 Na 0.000 0.000 0.250 x4
2 Er 0.178 0.322 0.000 x8
3 Ge 0.000 0.500 0.250 x4
4 O 0.000 0.000 0.000 x4
5 O 0.141 0.359 0.374 x16

Output
Fermi-level density of states, states/eV/atom: 0.29
ΔE_f (raw), meV/atom: -2429

Entry 3:
A geometry-optimized Zr3SiIr2 structure. Source: Alexandria, functional PBE-GGA.

Cell lengths 11.019, 4.136, 10.007 Å; angles 90.00, 90.00, 90.00 degrees
Space group Pnma (No. 62)
Unique sites:
1 Zr 0.054 0.250 0.117 x4
2 Zr 0.111 0.750 0.571 x4
3 Zr 0.190 0.250 0.812 x4
4 Si 0.137 0.250 0.378 x4
5 Ir 0.037 0.750 0.295 x4
6 Ir 0.181 0.750 0.008 x4

Output
Fermi-level density of states, states/eV/atom: 0.94
ΔE_f (raw), meV/atom: -762

Entry 4:
A geometry-optimized CaHfTc3 structure. Source: Alexandria, functional PBE-GGA.

Cell lengths 4.862, 4.862, 4.862 Å; angles 90.00, 90.00, 90.00 degrees
Space group Pm-3m (No. 221)
Unique sites:
1 Ca 0.000 0.000 0.000 x1
2 Hf 0.500 0.500 0.500 x1
3 Tc 0.000 0.500 0.500 x3

Output
Energy above the lowest structure with this stoichiometry, eV per atom: 0.000
Fermi-level density of states, states/eV/atom: 1.19
ΔH_f (0 K), meV/atom: 1316

Entry 5:
A geometry-optimized Nd2PuWN4 structure. Source: Alexandria, functional PBE-GGA.

Cell lengths 3.417, 12.123, 12.540 Å; angles 90.00, 90.00, 90.00 degrees
Space group Cmcm (No. 63)
Unique sites:
1 Nd 0.000 0.130 0.039 x8
2 Pu 0.000 0.416 0.250 x4
3 W 0.000 0.325 0.750 x4
4 N 0.000 0.066 0.250 x4
5 N 0.000 0.229 0.631 x8
6 N 0.000 0.500 0.000 x4

Output
Fermi-level density of states, states/eV/atom: 1.00
ΔE_f (raw), meV/atom: -854

Entry 6:
A geometry-optimized Al2InMoBr structure. Source: Alexandria, functional PBE-GGA.

Cell lengths 5.199, 5.199, 4.898 Å; angles 90.00, 90.00, 90.00 degrees
Space group P4/mmm (No. 123)
Unique sites:
1 Al 0.000 0.500 0.000 x2
2 In 0.000 0.000 0.500 x1
3 Mo 0.500 0.500 0.500 x1
4 Br 0.500 0.500 0.000 x1

Output
Fermi-level density of states, states/eV/atom: 0.61
ΔE_f (raw), meV/atom: 1195

Entry 7:
A geometry-optimized Ir2AuCl structure. Source: Alexandria, functional PBE-GGA.

Cell lengths 2.885, 2.885, 8.481 Å; angles 90.00, 90.00, 90.00 degrees
Space group P4mm (No. 99)
Unique sites:
1 Ir 0.000 0.000 0.000 x1
2 Ir 0.500 0.500 0.197 x1
3 Au 0.000 0.000 0.436 x1
4 Cl 0.500 0.500 0.782 x1

Output
Energy above the lowest structure with this stoichiometry, eV per atom: 0.127
Fermi-level density of states, states/eV/atom: 1.04
ΔE_f (raw), meV/atom: 453

Entry 8:
A geometry-optimized Li4Pu3VN8 structure. Source: Alexandria, functional PBE-GGA.

Cell lengths 6.5744, 6.5744, 15.1053 Å; angles 90.00, 90.00, 120.00 degrees
Space group R-3m (No. 166, hexagonal axes)
Unique sites:
1 Li 0.0000 0.0000 0.0000 x3
2 Li 0.0000 0.5000 0.0000 x9
3 Pu 0.0000 0.5000 0.5000 x9
4 V 0.0000 0.0000 0.5000 x3
5 N 0.0000 0.0000 0.2393 x6
6 N 0.0152 0.5076 0.2364 x18

Output
Fermi-level density of states, states/eV/atom: 1.11
ΔE_f (raw), meV/atom: -794

Entry 9:
A geometry-optimized KNbIr2Rh structure. Source: Alexandria, functional PBE-GGA.

Cell lengths 4.750, 4.750, 5.349 Å; angles 90.00, 90.00, 90.00 degrees
Space group P4/mmm (No. 123)
Unique sites:
1 K 0.000 0.000 0.000 x1
2 Nb 0.000 0.000 0.500 x1
3 Ir 0.000 0.500 0.500 x2
4 Rh 0.500 0.500 0.000 x1

Output
Fermi-level density of states, states/eV/atom: 1.43
ΔH_f (0 K), meV/atom: 1797

Ordered uncorrected energy results: -156.7; -246.9; -213.4; -36.5; -307.8; -16.8; -21.0; -417.2; -27.3; unit eV per cell.
Ordered calculated volume results: 512; 481; 456; 115; 519; 132; 71; 565; 121; unit Å³ per cell.